(1)
Pm4HRh GGA-PBE optimized geometry; space-group type = P2_1/m, No. 11; E = -5.29 eV/atom
1.0
6.153 -0.828 0.000
-4.220 6.712 0.000
0.000 0.000 8.641
Pm Rh H
8 2 2
Direct
0.585 0.823 0.250
0.998 0.719 0.466
0.998 0.719 0.034
0.588 0.762 0.750
0.412 0.238 0.250
0.415 0.177 0.750
0.002 0.281 0.966
0.002 0.281 0.534
0.998 0.437 0.250
0.002 0.563 0.750
0.002 0.109 0.750
0.998 0.891 0.250

***

(2)
Pm3H6Rh GGA-PBE optimized geometry; space-group type = R-3, No. 148; E = -4.53 eV/atom
1.0
6.452 -0.108 -0.110
-0.248 6.448 -0.110
-0.248 -0.253 6.444
Pm H Rh
6 12 2
Direct
0.546 0.061 0.255
0.939 0.745 0.454
0.454 0.939 0.745
0.061 0.255 0.546
0.745 0.454 0.939
0.255 0.546 0.061
0.046 0.265 0.910
0.954 0.735 0.090
0.764 0.455 0.581
0.455 0.581 0.764
0.545 0.419 0.236
0.910 0.046 0.265
0.735 0.090 0.954
0.581 0.764 0.455
0.090 0.954 0.735
0.419 0.236 0.545
0.236 0.545 0.419
0.265 0.910 0.046
0.000 0.000 0.000
0.500 0.500 0.500